Rb2VSbF | GGA+U | optimized geometry

Cell and atoms, written as CIF:
```
data_Rb2VSbF
_symmetry_space_group_name_H-M 'P 4/m m m'
_symmetry_Int_Tables_number 123
_symmetry_space_group_name_Hall '-P 4 2'
_cell_length_a 7.2670
_cell_length_b 7.2670
_cell_length_c 4.5047
_cell_angle_alpha 90.00
_cell_angle_beta 90.00
_cell_angle_gamma 90.00
loop_
_atom_site_label
_atom_site_fract_x
_atom_site_fract_y
_atom_site_fract_z
_atom_site_occupancy
Rb1 0.0000 0.5000 0.0000 1
V1 0.0000 0.0000 0.5000 1
Sb1 0.5000 0.5000 0.0000 1
F1 0.5000 0.5000 0.5000 1
```

The calculation puts the final energy at -2.94 eV per atom.